(1)
Entry from the Alexandria database: a geometry-optimized P2RuCl structure (GGA-PBE).

a = 3.201 Å, b = 3.201 Å, c = 22.002 Å
α = 90.00°, β = 90.00°, γ = 120.00°
Element x y z (fractional)
P (0.000, 0.000, 0.239)
P (0.000, 0.000, 0.761)
P (0.333, 0.667, 0.428)
P (0.333, 0.667, 0.905)
P (0.667, 0.333, 0.095)
P (0.667, 0.333, 0.572)
Ru (0.000, 0.000, 0.500)
Ru (0.333, 0.667, 0.167)
Ru (0.667, 0.333, 0.833)
Cl (0.000, 0.000, 0.000)
Cl (0.333, 0.667, 0.667)
Cl (0.667, 0.333, 0.333)

Summary:
mass density: 5.07 Mg/m³
formation energy without anion corrections: 0.06 eV/atom
volume: 195.2 Å³ per cell
space group: R-3m



(2)
Entry from the Alexandria database: a geometry-optimized PRu3Cl structure (GGA-PBE).

a = 4.479 Å, b = 4.479 Å, c = 4.479 Å
α = 90.00°, β = 90.00°, γ = 90.00°
Element x y z (fractional)
P (0.000, 0.000, 0.000)
Ru (0.000, 0.000, 0.500)
Ru (0.000, 0.500, 0.000)
Ru (0.500, 0.000, 0.000)
Cl (0.500, 0.500, 0.500)

Summary:
mass density: 6.83 Mg/m³
formation energy without anion corrections: 0.84 eV/atom
volume: 89.8 Å³ per cell
space group: Pm-3m



(3)
Entry from the Alexandria database: a geometry-optimized PRu2Cl structure (GGA-PBE).

a = 2.997 Å, b = 3.468 Å, c = 6.584 Å
α = 90.00°, β = 100.10°, γ = 90.00°
Element x y z (fractional)
P (0.000, 0.000, 0.000)
Ru (0.319, 0.500, 0.177)
Ru (0.681, 0.500, 0.823)
Cl (0.500, 0.000, 0.500)

Summary:
mass density: 6.62 Mg/m³
formation energy without anion corrections: 0.08 eV/atom
volume: 67.4 Å³ per cell
space group: P2/m



(4)
Entry from the Alexandria database: a geometry-optimized P2RuCl structure (GGA-PBE).

a = 7.167 Å, b = 3.050 Å, c = 7.347 Å
α = 90.00°, β = 110.30°, γ = 90.00°
Element x y z (fractional)
P (0.148, 0.000, 0.339)
P (0.352, 0.500, 0.661)
P (0.648, 0.500, 0.339)
P (0.852, 0.000, 0.661)
Ru (0.000, 0.500, 0.500)
Ru (0.500, 0.000, 0.500)
Cl (0.000, 0.000, 0.000)
Cl (0.500, 0.500, 0.000)

Summary:
mass density: 4.38 Mg/m³
formation energy without anion corrections: -0.21 eV/atom
volume: 150.7 Å³ per cell
space group: C2/m



(5)
Entry from the Alexandria database: a geometry-optimized PRuCl2 structure (GGA-PBE).

a = 2.943 Å, b = 4.220 Å, c = 5.356 Å
α = 90.00°, β = 90.00°, γ = 90.00°
Element x y z (fractional)
P (0.000, 0.000, 0.000)
Ru (0.500, 0.000, 0.500)
Cl (0.000, 0.500, 0.500)
Cl (0.500, 0.500, 0.000)

Summary:
mass density: 5.07 Mg/m³
formation energy without anion corrections: 0.72 eV/atom
volume: 66.5 Å³ per cell
space group: Pmmm



(6)
Entry from the Alexandria database: a geometry-optimized PRu2Cl structure (GGA-PBE).

a = 6.745 Å, b = 2.989 Å, c = 7.187 Å
α = 90.00°, β = 113.54°, γ = 90.00°
Element x y z (fractional)
P (0.000, 0.000, 0.000)
P (0.500, 0.500, 0.000)
Ru (0.135, 0.500, 0.827)
Ru (0.365, 0.000, 0.173)
Ru (0.635, 0.000, 0.827)
Ru (0.865, 0.500, 0.173)
Cl (0.000, 0.000, 0.500)
Cl (0.500, 0.500, 0.500)

Summary:
mass density: 6.72 Mg/m³
formation energy without anion corrections: -0.18 eV/atom
volume: 132.8 Å³ per cell
space group: C2/m



(7)
Entry from the Alexandria database: a geometry-optimized PRuCl2 structure (GGA-PBE).

a = 2.985 Å, b = 2.985 Å, c = 26.732 Å
α = 90.00°, β = 90.00°, γ = 120.00°
Element x y z (fractional)
P (0.000, 0.000, 0.000)
P (0.333, 0.667, 0.667)
P (0.667, 0.333, 0.333)
Ru (0.000, 0.000, 0.500)
Ru (0.333, 0.667, 0.167)
Ru (0.667, 0.333, 0.833)
Cl (0.000, 0.000, 0.416)
Cl (0.000, 0.000, 0.584)
Cl (0.333, 0.667, 0.083)
Cl (0.333, 0.667, 0.251)
Cl (0.667, 0.333, 0.749)
Cl (0.667, 0.333, 0.917)

Summary:
mass density: 4.90 Mg/m³
formation energy without anion corrections: 0.61 eV/atom
volume: 206.3 Å³ per cell
space group: R-3m



(8)
Entry from the Alexandria database: a geometry-optimized P2RuCl structure (GGA-PBE).

a = 2.938 Å, b = 2.938 Å, c = 7.641 Å
α = 90.00°, β = 90.00°, γ = 90.00°
Element x y z (fractional)
P (0.000, 0.000, 0.191)
P (0.000, 0.000, 0.809)
Ru (0.500, 0.500, 0.000)
Cl (0.500, 0.500, 0.500)

Summary:
mass density: 5.00 Mg/m³
formation energy without anion corrections: 0.11 eV/atom
volume: 66.0 Å³ per cell
space group: P4/mmm



(9)
Entry from the Alexandria database: a geometry-optimized PRuCl2 structure (GGA-PBE).

a = 2.989 Å, b = 4.121 Å, c = 14.301 Å
α = 90.00°, β = 90.00°, γ = 90.00°
Element x y z (fractional)
P (0.000, 0.000, 0.000)
P (0.500, 0.500, 0.500)
Ru (0.000, 0.000, 0.500)
Ru (0.500, 0.500, 0.000)
Cl (0.000, 0.500, 0.139)
Cl (0.000, 0.500, 0.861)
Cl (0.500, 0.000, 0.361)
Cl (0.500, 0.000, 0.639)

Summary:
mass density: 3.83 Mg/m³
formation energy without anion corrections: 0.13 eV/atom
volume: 176.2 Å³ per cell
space group: Immm



(10)
Entry from the Alexandria database: a geometry-optimized PRuCl2 structure (GGA-PBE).

a = 3.089 Å, b = 4.632 Å, c = 11.218 Å
α = 90.00°, β = 90.00°, γ = 90.00°
Element x y z (fractional)
P (0.000, 0.000, 0.000)
P (0.500, 0.500, 0.500)
Ru (0.000, 0.500, 0.355)
Ru (0.500, 0.000, 0.855)
Cl (0.000, 0.000, 0.662)
Cl (0.000, 0.500, 0.864)
Cl (0.500, 0.000, 0.364)
Cl (0.500, 0.500, 0.162)

Summary:
mass density: 4.20 Mg/m³
formation energy without anion corrections: 0.14 eV/atom
volume: 160.5 Å³ per cell
space group: Imm2



(11)
Entry from the Alexandria database: a geometry-optimized PRu2Cl structure (GGA-PBE).

a = 2.981 Å, b = 3.391 Å, c = 12.840 Å
α = 90.00°, β = 90.00°, γ = 90.00°
Element x y z (fractional)
P (0.000, 0.000, 0.000)
P (0.000, 0.500, 0.500)
Ru (0.000, 0.000, 0.386)
Ru (0.000, 0.500, 0.886)
Ru (0.500, 0.000, 0.566)
Ru (0.500, 0.500, 0.066)
Cl (0.500, 0.000, 0.751)
Cl (0.500, 0.500, 0.251)

Summary:
mass density: 6.87 Mg/m³
formation energy without anion corrections: -0.10 eV/atom
volume: 129.8 Å³ per cell
space group: Amm2



(12)
Entry from the Alexandria database: a geometry-optimized PRu2Cl structure (GGA-PBE).

a = 2.868 Å, b = 2.868 Å, c = 8.224 Å
α = 90.00°, β = 90.00°, γ = 90.00°
Element x y z (fractional)
P (0.000, 0.000, 0.000)
Ru (0.000, 0.000, 0.400)
Ru (0.500, 0.500, 0.173)
Cl (0.500, 0.500, 0.590)

Summary:
mass density: 6.59 Mg/m³
formation energy without anion corrections: 0.17 eV/atom
volume: 67.6 Å³ per cell
space group: P4mm



(13)
Entry from the Alexandria database: a geometry-optimized PRuCl2 structure (GGA-PBE).

a = 4.488 Å, b = 3.542 Å, c = 7.020 Å
α = 90.00°, β = 108.53°, γ = 90.00°
Element x y z (fractional)
P (0.000, 0.000, 0.000)
Ru (0.500, 0.000, 0.000)
Cl (0.376, 0.500, 0.750)
Cl (0.624, 0.500, 0.250)

Summary:
mass density: 3.18 Mg/m³
formation energy without anion corrections: -0.09 eV/atom
volume: 105.8 Å³ per cell
space group: P2/m



(14)
Entry from the Alexandria database: a geometry-optimized P2RuCl structure (GGA-PBE).

a = 5.903 Å, b = 5.903 Å, c = 10.719 Å
α = 90.00°, β = 90.00°, γ = 90.00°
Element x y z (fractional)
P (0.155, 0.250, 0.125)
P (0.250, 0.655, 0.375)
P (0.250, 0.845, 0.875)
P (0.345, 0.250, 0.625)
P (0.655, 0.750, 0.625)
P (0.750, 0.155, 0.875)
P (0.750, 0.345, 0.375)
P (0.845, 0.750, 0.125)
Ru (0.000, 0.000, 0.000)
Ru (0.000, 0.500, 0.250)
Ru (0.500, 0.000, 0.750)
Ru (0.500, 0.500, 0.500)
Cl (0.000, 0.000, 0.500)
Cl (0.000, 0.500, 0.750)
Cl (0.500, 0.000, 0.250)
Cl (0.500, 0.500, 0.000)

Summary:
mass density: 3.53 Mg/m³
formation energy without anion corrections: 0.12 eV/atom
volume: 373.5 Å³ per cell
space group: I-42d



(15)
Entry from the Alexandria database: a geometry-optimized PRu2Cl structure (GGA-PBE).

a = 2.845 Å, b = 3.892 Å, c = 5.456 Å
α = 90.00°, β = 90.00°, γ = 90.00°
Element x y z (fractional)
P (0.000, 0.000, 0.000)
Ru (0.000, 0.500, 0.500)
Ru (0.500, 0.500, 0.000)
Cl (0.500, 0.000, 0.500)

Summary:
mass density: 7.38 Mg/m³
formation energy without anion corrections: 0.51 eV/atom
volume: 60.4 Å³ per cell
space group: Pmmm



Listing energy relative to the lowest polymorph listed for this composition for the structures above in their given order: 269, 0, 265, 0, 1208, 0, 1098, 313, 612, 624, 78, 348, 395, 323, 695 meV per atom.